No. 1
The following is a DFT calculation (PBE) of Be2Hg2O after structural relaxation.

Values from the calculation:
crystal system: tetragonal
ΔE to the lowest computed polymorph: 0 kJ/mol of formula units
uncorrected formation energy: 0.37 eV per atom

a = 3.087 Å, b = 3.087 Å, c = 14.491 Å
α = 90.00°, β = 90.00°, γ = 90.00°
Space group I4/mmm (No. 139)
Inequivalent atoms, fractional coordinates:
Be  0.000  0.500  0.250 (multiplicity 4)
Hg  0.000  0.000  0.104 (multiplicity 4)
O  0.000  0.000  0.500 (multiplicity 2)

---

No. 2
The following is a DFT calculation (PBE) of BeHgO after structural relaxation.

Values from the calculation:
crystal system: orthorhombic
uncorrected formation energy: -1.68 eV per atom

a = 4.567 Å, b = 19.498 Å, c = 2.765 Å
α = 90.00°, β = 90.00°, γ = 90.00°
Space group Pnnm (No. 58)
Inequivalent atoms, fractional coordinates:
Be  0.095  0.250  0.000 (multiplicity 4)
Hg  0.250  0.061  0.500 (multiplicity 4)
O  0.243  0.750  0.000 (multiplicity 4)

---

No. 3
The following is a DFT calculation (PBE) of BeHgO2 after structural relaxation.

Values from the calculation:
crystal system: cubic
ΔE to the lowest computed polymorph: 541 kJ/mol of formula units
uncorrected formation energy: 0.01 eV per atom

a = 5.589 Å, b = 5.589 Å, c = 5.589 Å
α = 90.00°, β = 90.00°, γ = 90.00°
Space group Fm-3m (No. 225)
Inequivalent atoms, fractional coordinates:
Be  0.000  0.000  0.000 (multiplicity 4)
Hg  0.000  0.000  0.500 (multiplicity 4)
O  0.250  0.250  0.250 (multiplicity 8)

---

No. 4
The following is a DFT calculation (PBE) of BeHgO2 after structural relaxation.

Values from the calculation:
crystal system: orthorhombic
ΔE to the lowest computed polymorph: 0 kJ/mol of formula units
uncorrected formation energy: -1.39 eV per atom

a = 5.293 Å, b = 6.599 Å, c = 5.187 Å
α = 90.00°, β = 90.00°, γ = 90.00°
Space group Pna2_1 (No. 33)
Inequivalent atoms, fractional coordinates:
Be  0.059  0.124  0.000 (multiplicity 4)
Hg  0.070  0.627  0.005 (multiplicity 4)
O  0.027  0.067  0.688 (multiplicity 4)
O  0.133  0.679  0.562 (multiplicity 4)

---

No. 5
The following is a DFT calculation (PBE) of BeHgO2 after structural relaxation.

Values from the calculation:
crystal system: trigonal
ΔE to the lowest computed polymorph: 138 kJ/mol of formula units
uncorrected formation energy: -1.03 eV per atom

a = 2.9008 Å, b = 2.9008 Å, c = 17.5443 Å
α = 90.00°, β = 90.00°, γ = 120.00°
Space group R-3m (No. 166, hexagonal axes)
Inequivalent atoms, fractional coordinates:
Be  0.0000  0.0000  0.0000 (multiplicity 3)
Hg  0.0000  0.0000  0.5000 (multiplicity 3)
O  0.0000  0.0000  0.3841 (multiplicity 6)

---

No. 6
The following is a DFT calculation (PBE) of Be2Hg2O after structural relaxation.

Values from the calculation:
crystal system: tetragonal
ΔE to the lowest computed polymorph: 82 kJ/mol of formula units
uncorrected formation energy: 0.55 eV per atom

a = 6.672 Å, b = 6.672 Å, c = 3.336 Å
α = 90.00°, β = 90.00°, γ = 90.00°
Space group P4/mbm (No. 127)
Inequivalent atoms, fractional coordinates:
Be  0.120  0.380  0.000 (multiplicity 4)
Hg  0.178  0.678  0.500 (multiplicity 4)
O  0.000  0.000  0.500 (multiplicity 2)

---

Values of DOS at the Fermi energy, in order: 0.2209; 0.2043; 0.1958; 0.0160; 0.0000; 0.5917, all in states/eV per atom.
Values of density, in order: 10.5; 6.1; 9.2; 8.9; 9.4; 9.7, all in Mg/m³.
Values of spin magnetization, in order: 0.0; 0.0; 0.0; 0.0; 0.0; 0.0, all in μB/cell.